Density functional theory data (PBE) for a relaxed Pa2NiAs3 crystal.

Output
* theoretical density: 9.6 g/cm³
* E: -42.0 eV/f.u.
* formation enthalpy at 0 K: -552 meV per atom

Structure (CIF):
```
data_Pa2NiAs3
_cell_length_a 4.003
_cell_length_b 5.760
_cell_length_c 11.218
_cell_angle_alpha 90.00
_cell_angle_beta 90.00
_cell_angle_gamma 90.00
_space_group_name_H-M_alt 'I m m m'
_space_group_IT_number 71
_space_group_name_Hall '-I 2 2'
loop_
_atom_site_label
_atom_site_type_symbol
_atom_site_fract_x
_atom_site_fract_y
_atom_site_fract_z
_atom_site_occupancy
Pa1 Pa 0.000 0.000 0.179 1
Ni1 Ni 0.000 0.000 0.500 1
As1 As 0.000 0.500 0.138 1
As2 As 0.000 0.500 0.500 1
```